(1)
## CsZrSe2N (PBEsol)

Data for an optimized crystal structure of CsZrSe2N.

Lattice parameters (Å, degrees): 5.388 5.388 4.299 90.00 90.00 90.00
Space group P4/mmm (No. 123)
Unique sites:
Cs 0.000 0.000 0.000 (multiplicity 1)
Zr 0.500 0.500 0.500 (multiplicity 1)
Se 0.000 0.500 0.500 (multiplicity 2)
N 0.500 0.500 0.000 (multiplicity 1)

Values from the calculation:
E_form (uncorrected), eV per atom: -0.6148
E_tot, eV for the cell shown: -29.3
Size of the total moment, μB/cell: 1.8



(2)
## CsZrSeN2 (PBEsol)

Data for an optimized crystal structure of CsZrSeN2.

Lattice parameters (Å, degrees): 4.150 4.150 5.969 90.00 90.00 90.00
Space group P4/mmm (No. 123)
Unique sites:
Cs 0.000 0.000 0.000 (multiplicity 1)
Zr 0.500 0.500 0.500 (multiplicity 1)
Se 0.000 0.000 0.500 (multiplicity 1)
N 0.000 0.500 0.000 (multiplicity 2)

Values from the calculation:
E_form (uncorrected), eV per atom: 1.8558
E_tot, eV for the cell shown: -21.7
Size of the total moment, μB/cell: 0.0